No. 1
8
Lattice="7.190 -0.877 0.724 -0.940 7.545 -2.109 -2.721 -4.370 4.245" Properties=species:S:1:pos:R:3 comment="PaAg2S5, optimized geometry, DFT PBE-GGA" spacegroup=P1 raw_formation_energy_kj_per_mol_atoms=-54.8 vol_a3_per_atom=21.66 dos_at_fermi_per_ev_atom=0.088 pbc="T T T"
Ag 4.493 -0.753 2.530
Pa 2.898 3.340 1.134
S 4.895 4.584 -0.345
S 0.832 -0.854 2.784
S 4.723 1.124 0.734
Ag -0.457 2.315 1.817
S 1.517 5.095 -0.361
S 1.286 1.472 0.173


No. 2
5
Lattice="4.249 0.000 0.000 0.000 4.249 0.000 0.000 0.000 4.249" Properties=species:S:1:pos:R:3 comment="Ni3IrSe, optimized geometry, DFT PBE-GGA" spacegroup=Pm-3m raw_formation_energy_kj_per_mol_atoms=78.6 vol_a3_per_atom=15.34 dos_at_fermi_per_ev_atom=1.217 pbc="T T T"
Ni 0.000 2.124 0.000
Ni 0.000 0.000 2.124
Se 0.000 0.000 0.000
Ir 2.124 2.124 2.124
Ni 2.124 0.000 0.000


no.,M_tot (Bohr magnetons per cell),total DFT energy (no corrections) (eV/atom)
1,0.00,-5.0478
2,0.00,-5.1236